An optimized crystal structure of MgZrSc2. Source: Alexandria via LeMat-Bulk, functional PBE.

POSCAR file:
```
MgZrSc2
1.0
5.5207 -0.0251 0.0000
1.8029 5.2180 0.0000
-3.6618 -2.5965 3.2137
Zr Sc Mg
1 2 1
Cartesian
0.9015 2.6090 1.6068
0.0000 0.0000 0.0000
3.6618 2.5965 0.0000
2.7603 -0.0125 1.6068
```

Summary:
Size of the total moment, μB/f.u.: 0.80
SG: No. 139
Density of states at the Fermi level, states/eV/cell: 6.517
Formation enthalpy at 0 K, eV/atom: 0.0611
Mass density, g cm⁻³: 3.68

An optimized crystal structure of Ac4La3Pr2. Source: Alexandria via LeMat-Bulk, functional PBE.

POSCAR file:
```
Ac4La3Pr2
1.0
-2.2644 -0.0950 3.1682
0.1974 -6.7146 -2.4549
9.9873 -10.0508 6.8368
Ac La Pr
4 3 2
Cartesian
-0.1301 -3.3409 2.2016
5.8843 -7.6552 3.9761
8.0505 -13.5196 5.3485
2.0361 -9.2052 3.5739
5.3714 -11.3319 3.4993
2.5490 -5.5286 4.0508
0.0000 0.0000 0.0000
6.4572 -10.1961 6.7041
1.4632 -6.6643 0.8459
```

Summary:
Size of the total moment, μB/f.u.: 0.00
SG: No. 12
Density of states at the Fermi level, states/eV/cell: 14.753
Formation enthalpy at 0 K, eV/atom: 0.0681
Mass density, g cm⁻³: 7.24